Record 1
A plane-wave DFT calculation with PBE was carried out for crystalline HfZnCoSb at its relaxed geometry.

Cell and atoms, written as POSCAR:
```
HfZnCoSb
1.0
0.000 3.238 3.238
3.238 0.000 3.238
3.238 3.238 0.000
Hf Zn Co Sb
1 1 1 1
direct
0.000 0.000 0.000
0.250 0.250 0.250
0.750 0.750 0.750
0.500 0.500 0.500
```

Magnetization ... 0.001 μB/cell
SG ... No. 216
Total energy ... -5.654 eV/atom
Energy relative to the lowest polymorph listed for this composition ... 0.00 eV per formula unit

Record 2
A plane-wave DFT calculation with PBE was carried out for crystalline HfZnCoSb at its relaxed geometry.

Cell and atoms, written as POSCAR:
```
HfZnCoSb
1.0
0.000 3.260 3.260
3.260 0.000 3.260
3.260 3.260 0.000
Hf Zn Co Sb
1 1 1 1
direct
0.000 0.000 0.000
0.750 0.750 0.750
0.500 0.500 0.500
0.250 0.250 0.250
```

Magnetization ... 0.073 μB/cell
SG ... No. 216
Total energy ... -5.503 eV/atom
Energy relative to the lowest polymorph listed for this composition ... 0.61 eV per formula unit

Record 3
A plane-wave DFT calculation with PBE was carried out for crystalline HfZrCo2Sb2 at its relaxed geometry.

Cell and atoms, written as POSCAR:
```
HfZrCo2Sb2
1.0
8.600 0.000 0.000
0.000 4.299 0.000
-4.299 0.000 12.162
Hf Zr Co Sb
4 4 8 8
direct
0.000 0.000 0.000
0.125 0.500 0.750
0.250 0.000 0.500
0.500 0.000 0.000
0.375 0.500 0.250
0.625 0.500 0.750
0.750 0.000 0.500
0.875 0.500 0.250
0.062 0.500 0.124
0.188 0.000 0.875
0.311 0.500 0.625
0.436 0.000 0.375
0.562 0.500 0.124
0.688 0.000 0.876
0.814 0.500 0.626
0.939 0.000 0.376
0.002 0.500 0.501
0.125 0.000 0.250
0.250 0.500 0.999
0.374 0.000 0.750
0.499 0.500 0.500
0.625 0.000 0.249
0.750 0.500 0.000
0.877 0.000 0.751
```

Magnetization ... 0.008 μB/cell
SG ... No. 6
Total energy ... -7.559 eV/atom

Record 4
A plane-wave DFT calculation with PBE was carried out for crystalline HfScCo at its relaxed geometry.

Cell and atoms, written as POSCAR:
```
HfScCo
1.0
0.000 3.048 3.048
3.048 0.000 3.048
3.048 3.048 0.000
Hf Sc Co
1 1 1
direct
0.000 0.000 0.000
0.750 0.750 0.750
0.500 0.500 0.500
```

Magnetization ... 0.003 μB/cell
SG ... No. 216
Total energy ... -6.904 eV/atom

Record 5
A plane-wave DFT calculation with PBE was carried out for crystalline HfSc2Co at its relaxed geometry.

Cell and atoms, written as POSCAR:
```
HfSc2Co
1.0
0.000 3.335 3.335
3.335 0.000 3.335
3.335 3.335 0.000
Hf Sc Co
1 2 1
direct
0.000 0.000 0.000
0.500 0.500 0.500
0.750 0.750 0.750
0.250 0.250 0.250
```

Magnetization ... 1.323 μB/cell
SG ... No. 216
Total energy ... -7.317 eV/atom
Energy relative to the lowest polymorph listed for this composition ... 0.00 eV per formula unit

Record 6
A plane-wave DFT calculation with PBE was carried out for crystalline HfSc2Co3 at its relaxed geometry.

Cell and atoms, written as POSCAR:
```
HfSc2Co3
1.0
3.132 0.000 0.000
0.000 3.132 0.000
0.000 0.000 9.392
Hf Sc Co
1 2 3
direct
0.000 0.000 0.000
0.000 0.000 0.336
0.000 0.000 0.664
0.500 0.500 0.160
0.500 0.500 0.500
0.500 0.500 0.840
```

Magnetization ... 1.099 μB/cell
SG ... No. 123
Total energy ... -7.718 eV/atom

Record 7
A plane-wave DFT calculation with PBE was carried out for crystalline HfSc4Co5 at its relaxed geometry.

Cell and atoms, written as POSCAR:
```
HfSc4Co5
1.0
3.124 0.000 0.000
0.000 3.124 0.000
0.000 0.000 15.609
Hf Sc Co
1 4 5
direct
0.000 0.000 0.000
0.000 0.000 0.203
0.000 0.000 0.401
0.000 0.000 0.599
0.000 0.000 0.797
0.500 0.500 0.096
0.500 0.500 0.299
0.500 0.500 0.500
0.500 0.500 0.701
0.500 0.500 0.904
```

Magnetization ... 1.265 μB/cell
SG ... No. 123
Total energy ... -7.462 eV/atom

Record 8
A plane-wave DFT calculation with PBE was carried out for crystalline HfScCoSi at its relaxed geometry.

Cell and atoms, written as POSCAR:
```
HfScCoSi
1.0
0.000 3.155 3.155
3.155 0.000 3.155
3.155 3.155 0.000
Hf Sc Co Si
1 1 1 1
direct
0.000 0.000 0.000
0.250 0.250 0.250
0.750 0.750 0.750
0.500 0.500 0.500
```

Magnetization ... 2.002 μB/cell
SG ... No. 216
Total energy ... -7.277 eV/atom
Energy relative to the lowest polymorph listed for this composition ... 0.00 eV per formula unit

Record 9
A plane-wave DFT calculation with PBE was carried out for crystalline HfScCoSn at its relaxed geometry.

Cell and atoms, written as POSCAR:
```
HfScCoSn
1.0
0.000 3.321 3.321
3.321 0.000 3.321
3.321 3.321 0.000
Hf Sc Co Sn
1 1 1 1
direct
0.000 0.000 0.000
0.250 0.250 0.250
0.750 0.750 0.750
0.500 0.500 0.500
```

Magnetization ... 1.997 μB/cell
SG ... No. 216
Total energy ... -6.885 eV/atom
Energy relative to the lowest polymorph listed for this composition ... 0.00 eV per formula unit

Record 10
A plane-wave DFT calculation with PBE was carried out for crystalline HfScTlCo at its relaxed geometry.

Cell and atoms, written as POSCAR:
```
HfScTlCo
1.0
0.000 3.317 3.317
3.317 0.000 3.317
3.317 3.317 0.000
Hf Sc Tl Co
1 1 1 1
direct
0.000 0.000 0.000
0.250 0.250 0.250
0.500 0.500 0.500
0.750 0.750 0.750
```

Magnetization ... 1.000 μB/cell
SG ... No. 216
Total energy ... -6.311 eV/atom
Energy relative to the lowest polymorph listed for this composition ... 0.00 eV per formula unit

Record 11
A plane-wave DFT calculation with PBE was carried out for crystalline HfCoSi at its relaxed geometry.

Cell and atoms, written as POSCAR:
```
HfCoSi
1.0
6.383 0.000 0.000
0.000 3.825 0.000
0.000 0.000 7.069
Hf Co Si
4 4 4
direct
0.007 0.250 0.193
0.493 0.750 0.693
0.507 0.250 0.307
0.993 0.750 0.807
0.146 0.250 0.569
0.354 0.750 0.069
0.646 0.250 0.931
0.854 0.750 0.431
0.218 0.750 0.393
0.282 0.250 0.893
0.718 0.750 0.107
0.782 0.250 0.607
```

Magnetization ... 0.037 μB/cell
SG ... No. 62
Total energy ... -8.351 eV/atom

Record 12
A plane-wave DFT calculation with PBE was carried out for crystalline HfCoSi at its relaxed geometry.

Cell and atoms, written as POSCAR:
```
HfCoSi
1.0
3.993 0.000 0.000
-1.996 3.458 0.000
0.000 0.000 6.399
Hf Co Si
2 2 2
direct
0.000 0.000 0.000
0.000 0.000 0.500
0.333 0.667 0.302
0.667 0.333 0.802
0.333 0.667 0.731
0.667 0.333 0.231
```

Magnetization ... 0.005 μB/cell
SG ... No. 186
Total energy ... -8.242 eV/atom

Record 13
A plane-wave DFT calculation with PBE was carried out for crystalline Hf4Co4Si7 at its relaxed geometry.

Cell and atoms, written as POSCAR:
```
Hf4Co4Si7
1.0
-6.415 6.415 2.518
6.415 -6.415 2.518
6.415 6.415 -2.518
Hf Co Si
8 8 14
direct
0.000 0.196 0.196
0.000 0.804 0.804
0.196 0.000 0.196
0.363 0.363 0.725
0.363 0.637 0.000
0.637 0.363 0.000
0.637 0.637 0.275
0.804 0.000 0.804
0.102 0.602 0.204
0.102 0.898 0.500
0.398 0.602 0.500
0.398 0.898 0.796
0.602 0.102 0.204
0.602 0.398 0.500
0.898 0.102 0.500
0.898 0.398 0.796
0.000 0.408 0.408
0.000 0.592 0.592
0.199 0.500 0.699
0.210 0.210 0.420
0.210 0.790 0.000
0.250 0.250 0.000
0.408 0.000 0.408
0.500 0.199 0.699
0.500 0.801 0.301
0.592 0.000 0.592
0.750 0.750 0.000
0.790 0.210 0.000
0.790 0.790 0.580
0.801 0.500 0.301
```

Magnetization ... 0.003 μB/cell
SG ... No. 139
Total energy ... -7.874 eV/atom

Record 14
A plane-wave DFT calculation with PBE was carried out for crystalline HfCoSi at its relaxed geometry.

Cell and atoms, written as POSCAR:
```
HfCoSi
1.0
0.000 2.884 2.884
2.884 0.000 2.884
2.884 2.884 0.000
Hf Co Si
1 1 1
direct
0.000 0.000 0.000
0.250 0.250 0.250
0.500 0.500 0.500
```

Magnetization ... 0.996 μB/cell
SG ... No. 216
Total energy ... -8.072 eV/atom

Record 15
A plane-wave DFT calculation with PBE was carried out for crystalline Hf6Co16Si7 at its relaxed geometry.

Cell and atoms, written as POSCAR:
```
Hf6Co16Si7
1.0
0.000 5.655 5.655
5.655 0.000 5.655
5.655 5.655 0.000
Hf Co Si
6 16 7
direct
0.204 0.204 0.796
0.204 0.796 0.204
0.204 0.796 0.796
0.796 0.204 0.204
0.796 0.204 0.796
0.796 0.796 0.204
0.141 0.620 0.620
0.170 0.170 0.170
0.170 0.170 0.490
0.170 0.490 0.170
0.380 0.380 0.380
0.380 0.380 0.859
0.380 0.859 0.380
0.490 0.170 0.170
0.510 0.830 0.830
0.620 0.141 0.620
0.620 0.620 0.141
0.620 0.620 0.620
0.830 0.510 0.830
0.830 0.830 0.510
0.830 0.830 0.830
0.859 0.380 0.380
0.000 0.000 0.500
0.000 0.500 0.000
0.000 0.500 0.500
0.500 0.000 0.000
0.500 0.000 0.500
0.500 0.500 0.000
0.500 0.500 0.500
```

Magnetization ... 0.122 μB/cell
SG ... No. 225
Total energy ... -7.978 eV/atom

Record 16
A plane-wave DFT calculation with PBE was carried out for crystalline HfCo2Si2 at its relaxed geometry.

Cell and atoms, written as POSCAR:
```
HfCo2Si2
1.0
-1.864 1.864 4.804
1.864 -1.864 4.804
1.864 1.864 -4.804
Hf Co Si
1 2 2
direct
0.000 0.000 0.000
0.250 0.750 0.500
0.750 0.250 0.500
0.379 0.379 0.000
0.621 0.621 0.000
```

Magnetization ... 0.001 μB/cell
SG ... No. 139
Total energy ... -7.766 eV/atom

Record 17
A plane-wave DFT calculation with PBE was carried out for crystalline Hf4CoSi at its relaxed geometry.

Cell and atoms, written as POSCAR:
```
Hf4CoSi
1.0
-3.217 3.217 2.638
3.217 -3.217 2.638
3.217 3.217 -2.638
Hf Co Si
4 1 1
direct
0.088 0.588 0.175
0.412 0.912 0.825
0.588 0.412 0.500
0.912 0.088 0.500
0.500 0.500 0.000
0.000 0.000 0.000
```

Magnetization ... 0.005 μB/cell
SG ... No. 97
Total energy ... -9.199 eV/atom

Record 18
A plane-wave DFT calculation with PBE was carried out for crystalline HfTaCoSi at its relaxed geometry.

Cell and atoms, written as POSCAR:
```
HfTaCoSi
1.0
0.000 3.133 3.133
3.133 0.000 3.133
3.133 3.133 0.000
Hf Ta Co Si
1 1 1 1
direct
0.000 0.000 0.000
0.250 0.250 0.250
0.750 0.750 0.750
0.500 0.500 0.500
```

Magnetization ... 1.345 μB/cell
SG ... No. 216
Total energy ... -8.496 eV/atom
Energy relative to the lowest polymorph listed for this composition ... 0.00 eV per formula unit

Record 19
A plane-wave DFT calculation with PBE was carried out for crystalline HfCoSiW at its relaxed geometry.

Cell and atoms, written as POSCAR:
```
HfCoSiW
1.0
0.000 3.092 3.092
3.092 0.000 3.092
3.092 3.092 0.000
Hf Co Si W
1 1 1 1
direct
0.000 0.000 0.000
0.750 0.750 0.750
0.500 0.500 0.500
0.250 0.250 0.250
```

Magnetization ... 0.444 μB/cell
SG ... No. 216
Total energy ... -8.851 eV/atom
Energy relative to the lowest polymorph listed for this composition ... 0.00 eV per formula unit

Record 20
A plane-wave DFT calculation with PBE was carried out for crystalline HfZnCoSi at its relaxed geometry.

Cell and atoms, written as POSCAR:
```
HfZnCoSi
1.0
0.000 3.078 3.078
3.078 0.000 3.078
3.078 3.078 0.000
Hf Zn Co Si
1 1 1 1
direct
0.000 0.000 0.000
0.750 0.750 0.750
0.500 0.500 0.500
0.250 0.250 0.250
```

Magnetization ... 0.951 μB/cell
SG ... No. 216
Total energy ... -6.079 eV/atom
Energy relative to the lowest polymorph listed for this composition ... 0.24 eV per formula unit

The calculation returns the following V values, one per record and in order: 16.982 17.323 18.735 18.878 18.545 15.353 15.237 15.705 18.315 18.255 14.384 14.724 13.813 15.989 12.475 13.346 18.198 15.381 14.776 14.582 A^3/atom.